{"formula": "Sr3InSb", "functional": "PBE", "state": "optimized geometry", "polymorph_energy_mev_per_atom": 0, "m_tot_mub_per_cell": 0.0, "e_form_raw_ev_per_atom": -0.621, "space_group": "C2/m", "cell": [[4.593, 0.001, 0.000], [-2.295, 8.715, -0.210], [0.000, -0.580, 9.752]], "species": ["Sr", "Sr", "Sr", "Sr", "Sr", "Sr", "Sb", "Sb", "In", "In"], "fractional_positions": [[0.783, 0.600, 0.385], [0.419, 0.872, 0.623], [0.071, 0.174, 0.378], [0.973, 0.980, 0.044], [0.625, 0.283, 0.799], [0.261, 0.554, 0.037], [0.630, 0.293, 0.139], [0.414, 0.861, 0.282], [0.225, 0.482, 0.632], [0.819, 0.672, 0.790]]}



{"formula": "Sr2InSb", "functional": "PBE", "state": "optimized geometry", "polymorph_energy_mev_per_atom": 277, "m_tot_mub_per_cell": 0.0, "e_form_raw_ev_per_atom": -0.392, "space_group": "I-42d", "cell": [[8.978, 0.000, 0.000], [0.000, 8.978, 0.000], [4.489, 4.489, 3.792]], "species": ["Sr", "Sr", "Sr", "Sr", "In", "In", "Sb", "Sb"], "fractional_positions": [[0.108, 0.625, 0.250], [0.642, 0.125, 0.250], [0.875, 0.892, 0.750], [0.375, 0.358, 0.750], [0.250, 0.750, 0.500], [0.500, 0.500, 0.000], [0.000, 0.000, 0.000], [0.750, 0.250, 0.500]]}